Here is a relaxed Li9Mn2Co5O16 crystal from Alexandria via LeMat-Bulk. Energies are from PBE+U.

V: 286.9 Å³/f.u.
Energy relative to the lowest polymorph listed for this composition: 29 meV/atom
M_tot: 26.0 μB per formula unit
Calculated total energy: -185.4 eV/cell

Cell: 6.552 6.552 10.206 Å, 59.45 59.45 52.65°
Each line ends with the local moment (μB).
Element x y z (fractional)
O1 0.644 0.130 0.998  0.18
O2 0.882 0.882 0.759  0.38
O3 0.130 0.644 0.998  0.18
O4 0.150 0.620 0.493  0.15
O5 0.850 0.380 0.507  0.15
O6 0.380 0.850 0.507  0.15
O7 0.389 0.389 0.244  0.36
O8 0.385 0.385 0.732  0.18
O9 0.611 0.611 0.756  0.36
O10 0.615 0.615 0.268  0.18
O11 0.888 0.888 0.233  0.18
O12 0.112 0.112 0.767  0.18
O13 0.356 0.870 0.002  0.18
O14 0.870 0.356 0.002  0.18
O15 0.118 0.118 0.241  0.38
O16 0.620 0.150 0.493  0.15
Li1 0.999 0.509 0.742  0.02
Li2 0.491 0.001 0.258  0.02
Li3 0.001 0.491 0.258  0.02
Li4 0.509 0.999 0.742  0.02
Li5 0.750 0.750 0.505  0.00
Li6 0.000 0.000 0.500  0.01
Li7 0.750 0.750 0.002  0.01
Li8 0.250 0.250 0.998  0.01
Li9 0.250 0.250 0.495  0.00
Mn1 0.500 0.500 0.500  3.11
Mn2 0.000 0.000 0.000  3.15
Co1 0.757 0.246 0.742  3.07
Co2 0.500 0.500 0.000  3.10
Co3 0.246 0.757 0.742  3.07
Co4 0.243 0.754 0.258  3.07
Co5 0.754 0.243 0.258  3.07